# 1
{
  "formula": "Mg3Ni20B6",
  "functional": "PBE-GGA",
  "state": "relaxed",
  "lattice": [[0.0000, 5.2886, 5.2886], [5.2886, 0.0000, 5.2886], [5.2886, 5.2886, 0.0000]],
  "species": ["Mg", "Mg", "Mg", "Ni", "Ni", "Ni", "Ni", "Ni", "Ni", "Ni", "Ni", "Ni", "Ni", "Ni", "Ni", "Ni", "Ni", "Ni", "Ni", "Ni", "Ni", "Ni", "Ni", "B", "B", "B", "B", "B", "B"],
  "frac_coords": [[0.0000, 0.0000, 0.0000], [0.2500, 0.2500, 0.2500], [0.7500, 0.7500, 0.7500], [0.0000, 0.0000, 0.3402], [0.0000, 0.0000, 0.6598], [0.0000, 0.3402, 0.0000], [0.0000, 0.3402, 0.6598], [0.0000, 0.6598, 0.0000], [0.0000, 0.6598, 0.3402], [0.1563, 0.6146, 0.6146], [0.3402, 0.0000, 0.0000], [0.3402, 0.0000, 0.6598], [0.3402, 0.6598, 0.0000], [0.3854, 0.3854, 0.3854], [0.3854, 0.3854, 0.8437], [0.3854, 0.8437, 0.3854], [0.6146, 0.1563, 0.6146], [0.6146, 0.6146, 0.1563], [0.6146, 0.6146, 0.6146], [0.6598, 0.0000, 0.0000], [0.6598, 0.0000, 0.3402], [0.6598, 0.3402, 0.0000], [0.8437, 0.3854, 0.3854], [0.2711, 0.2711, 0.7289], [0.2711, 0.7289, 0.2711], [0.2711, 0.7289, 0.7289], [0.7289, 0.2711, 0.2711], [0.7289, 0.2711, 0.7289], [0.7289, 0.7289, 0.2711]],
  "e_form_ev_per_atom": -0.310
}

=====

# 2
{
  "formula": "MgNiB2",
  "functional": "PBE-GGA",
  "state": "relaxed",
  "lattice": [[-1.7854, 1.7854, 7.0819], [1.7854, -1.7854, 7.0819], [1.7854, 1.7854, -7.0819]],
  "species": ["Mg", "Mg", "Ni", "Ni", "B", "B", "B", "B"],
  "frac_coords": [[0.3750, 0.6250, 0.7500], [0.6250, 0.3750, 0.2500], [0.1250, 0.8750, 0.2500], [0.8750, 0.1250, 0.7500], [0.0000, 0.0000, 0.0000], [0.0000, 0.0000, 0.5000], [0.0000, 0.5000, 0.0000], [0.5000, 0.0000, 0.5000]],
  "e_form_ev_per_atom": 0.083
}

=====

# 3
{
  "formula": "MgNi7B5",
  "functional": "PBE-GGA",
  "state": "relaxed",
  "lattice": [[-2.1761, 3.6451, 3.7185], [2.1761, -3.6451, 3.7185], [2.1761, 3.6451, -3.7185]],
  "species": ["Mg", "Ni", "Ni", "Ni", "Ni", "Ni", "Ni", "Ni", "B", "B", "B", "B", "B"],
  "frac_coords": [[0.0000, 0.0000, 0.0000], [0.1587, 0.4679, 0.6908], [0.2306, 0.7306, 0.5000], [0.3385, 0.3385, 0.0000], [0.3681, 0.0302, 0.3379], [0.6591, 0.6591, 0.0000], [0.6923, 0.0302, 0.6621], [0.7772, 0.4679, 0.3092], [0.5069, 0.5380, 0.5397], [0.5069, 0.9672, 0.9689], [0.7610, 0.2610, 0.5000], [0.9983, 0.5380, 0.0311], [0.9983, 0.9672, 0.4603]],
  "e_form_ev_per_atom": -0.080
}